First-principles (PBE) data for a relaxed structure of KAgB2Br8, as listed in Alexandria.

Unit cell a=6.504 b=6.504 c=10.415 alpha=71.81 beta=71.81 gamma=60.00
Fractional coordinates of all 12 atoms:
K: 0.500 0.500 0.500
Ag: 0.000 0.000 0.000
B: 0.250 0.250 0.250
B: 0.750 0.750 0.750
Br: 0.180 0.180 0.459
Br: 0.563 0.286 0.183
Br: 0.820 0.820 0.541
Br: 0.968 0.563 0.183
Br: 0.032 0.437 0.817
Br: 0.286 0.968 0.183
Br: 0.714 0.032 0.817
Br: 0.437 0.714 0.817

Output
Its final energy is -3.21 eV per atom. The calculation puts the volume at 355.9 Å³/cell. The total magnetization is 0.000 Bohr magnetons per cell. As for the density of states at the Fermi level: 0.000 states/eV/atom.